AcLaTbAg after structural relaxation, computed with PBE.

abc: 5.6674 5.6674 5.6674
angles: 60.00 60.00 60.00
Sites, in units of the cell vectors:
Ac: 0.7500 0.7500 0.7500
Tb: 0.0000 0.0000 0.0000
Ag: 0.2500 0.2500 0.2500
La: 0.5000 0.5000 0.5000

Results
The total energy comes out at -3.973 eV/atom. As for the excess energy over the best structure of this formula in the dataset: 267 meV per atom. The theoretical density comes out at 8.16 Mg/m³. The calculation puts the size of the total moment at 0.00 Bohr magnetons per cell. Its crystal system is cubic.